[1]
{
  "formula": "CsCdS",
  "functional": "PBE",
  "state": "relaxed",
  "space_group": "Immm",
  "raw_formation_energy_ev_per_atom": -0.73,
  "energy_ev_per_fu": -8.08,
  "m_tot_mub_per_cell": 0.00,
  "vol_a3_per_atom": 39.944,
  "lattice_angstrom": [[5.754, 0.000, 0.000], [0.000, 5.019, 0.000], [-2.877, -2.510, 8.298]],
  "species": ["Cs", "Cd", "S", "Cs", "Cd", "S"],
  "frac_coords": [[0.334, 0.834, 0.668], [0.735, 0.500, 0.000], [0.125, 0.625, 0.250], [0.666, 0.166, 0.332], [0.265, 0.500, 0.000], [0.875, 0.375, 0.750]]
}


[2]
{
  "formula": "Pr3Nd4Sm5",
  "functional": "PBE",
  "state": "relaxed",
  "space_group": "P-1",
  "formation_enthalpy_0k_ev_per_atom": 0.012,
  "energy_ev_per_fu": -56.86,
  "m_tot_mub_per_cell": 0.00,
  "vol_a3_per_atom": 34.910,
  "lattice_angstrom": [[-1.529, -6.519, 2.980], [8.828, 3.018, -6.900], [-5.364, -1.489, 12.003]],
  "species": ["Sm", "Sm", "Nd", "Sm", "Sm", "Pr", "Nd", "Pr", "Pr", "Nd", "Sm", "Nd"],
  "frac_coords": [[0.668, 0.333, 0.166], [0.750, 0.501, 0.001], [0.083, 0.165, 0.333], [0.500, 0.000, 0.500], [0.250, 0.499, 0.999], [0.000, 0.000, 0.500], [0.168, 0.335, 0.167], [0.418, 0.834, 0.667], [0.582, 0.166, 0.333], [0.917, 0.835, 0.667], [0.332, 0.667, 0.834], [0.832, 0.665, 0.833]]
}


[3]
{
  "formula": "Ce2SN2",
  "functional": "PBE",
  "state": "relaxed",
  "space_group": "Fddd",
  "raw_formation_energy_ev_per_atom": -1.61,
  "energy_ev_per_fu": -40.71,
  "m_tot_mub_per_cell": 0.00,
  "vol_a3_per_atom": 18.460,
  "lattice_angstrom": [[5.779, -0.081, -1.988], [-2.158, 5.084, -2.618], [-0.381, 0.178, 6.337]],
  "species": ["Ce", "N", "N", "S", "S", "Ce", "N", "N", "Ce", "Ce"],
  "frac_coords": [[0.575, 0.424, 0.750], [0.762, 0.512, 0.524], [0.238, 0.488, 0.476], [0.875, 0.125, 0.750], [0.125, 0.875, 0.250], [0.175, 0.825, 0.750], [0.512, 0.762, 0.024], [0.488, 0.238, 0.976], [0.825, 0.175, 0.250], [0.425, 0.576, 0.250]]
}


[4]
{
  "formula": "K2LaTiN",
  "functional": "PBE",
  "state": "relaxed",
  "space_group": "P4/mmm",
  "raw_formation_energy_ev_per_atom": 1.91,
  "energy_ev_per_fu": -13.77,
  "m_tot_mub_per_cell": 1.35,
  "vol_a3_per_atom": 51.890,
  "lattice_angstrom": [[-0.970, -7.046, -1.359], [4.631, -0.923, 1.478], [-2.358, -0.982, 6.775]],
  "species": ["La", "Ti", "K", "N", "K"],
  "frac_coords": [[0.000, 0.000, 0.000], [0.000, 0.500, 0.000], [0.000, 0.000, 0.500], [0.500, 0.500, 0.500], [0.500, 0.000, 0.000]]
}


[5]
{
  "formula": "CsPmCuO3",
  "functional": "PBE",
  "state": "relaxed",
  "space_group": "P2_1/m",
  "raw_formation_energy_ev_per_atom": -1.90,
  "energy_ev_per_fu": -35.95,
  "m_tot_mub_per_cell": 0.00,
  "vol_a3_per_atom": 21.567,
  "lattice_angstrom": [[-2.758, 2.557, 0.704], [-1.503, -3.553, 7.023], [6.298, 6.615, 0.645]],
  "species": ["Cs", "Pm", "Cu", "O", "O", "O", "O", "O", "O", "Pm", "Cu", "Cs"],
  "frac_coords": [[0.750, 0.792, 0.795], [0.750, 0.326, 0.860], [0.750, 0.957, 0.376], [0.750, 0.056, 0.606], [0.750, 0.480, 0.127], [0.250, 0.520, 0.873], [0.750, 0.864, 0.147], [0.250, 0.136, 0.853], [0.250, 0.944, 0.394], [0.250, 0.674, 0.140], [0.250, 0.043, 0.624], [0.250, 0.208, 0.205]]
}


[6]
{
  "formula": "Tb5PmNd3",
  "functional": "PBE",
  "state": "relaxed",
  "space_group": "C2/c",
  "formation_enthalpy_0k_ev_per_atom": 0.283,
  "energy_ev_per_fu": -39.66,
  "m_tot_mub_per_cell": 0.00,
  "vol_a3_per_atom": 34.983,
  "lattice_angstrom": [[-0.512, 0.013, -6.376], [-4.572, -11.066, 3.553], [-4.160, 10.795, 0.356]],
  "species": ["Tb", "Tb", "Pm", "Tb", "Tb", "Nd", "Nd", "Tb", "Tb", "Nd", "Tb", "Tb", "Tb", "Tb", "Nd", "Nd", "Pm", "Nd"],
  "frac_coords": [[0.884, 0.347, 0.126], [0.655, 0.661, 0.045], [0.874, 0.000, 0.750], [0.116, 0.653, 0.874], [0.400, 0.000, 0.750], [0.479, 0.313, 0.296], [0.521, 0.687, 0.704], [0.537, 0.653, 0.374], [0.463, 0.347, 0.626], [0.166, 0.687, 0.204], [0.345, 0.339, 0.955], [0.005, 0.661, 0.545], [0.600, 0.000, 0.250], [0.995, 0.339, 0.455], [0.000, 0.000, 0.000], [0.000, 0.000, 0.500], [0.126, 0.000, 0.250], [0.834, 0.313, 0.796]]
}


Which formula does entry 4 have? K2LaTiN


Repeat the second record exactly.
{
  "formula": "Pr3Nd4Sm5",
  "functional": "PBE",
  "state": "relaxed",
  "space_group": "P-1",
  "formation_enthalpy_0k_ev_per_atom": 0.012,
  "energy_ev_per_fu": -56.86,
  "m_tot_mub_per_cell": 0.00,
  "vol_a3_per_atom": 34.910,
  "lattice_angstrom": [[-1.529, -6.519, 2.980], [8.828, 3.018, -6.900], [-5.364, -1.489, 12.003]],
  "species": ["Sm", "Sm", "Nd", "Sm", "Sm", "Pr", "Nd", "Pr", "Pr", "Nd", "Sm", "Nd"],
  "frac_coords": [[0.668, 0.333, 0.166], [0.750, 0.501, 0.001], [0.083, 0.165, 0.333], [0.500, 0.000, 0.500], [0.250, 0.499, 0.999], [0.000, 0.000, 0.500], [0.168, 0.335, 0.167], [0.418, 0.834, 0.667], [0.582, 0.166, 0.333], [0.917, 0.835, 0.667], [0.332, 0.667, 0.834], [0.832, 0.665, 0.833]]
}


Which formula does entry 2 have? Pr3Nd4Sm5